RbAsSe3 | GGA-PBEsol | optimized geometry

energy = -18.64 eV for the cell shown
theoretical density = 4.88 g/cm³
magnetization = 0.0 μB/cell
energy relative to the elements, uncorrected = -0.1922 eV per atom

Cell lengths 5.132, 5.132, 5.132 Å; angles 90.00, 90.00, 90.00 degrees
Space group Pm-3m (No. 221)
Symmetry-distinct sites (fractional):
Rb1 0.000 0.000 0.000
As1 0.500 0.500 0.500
Se1 0.000 0.500 0.500



RbSrAsSe2 | GGA-PBEsol | optimized geometry

energy = -14.28 eV for the cell shown
theoretical density = 3.97 g/cm³
magnetization = 0.0 μB/cell
energy relative to the elements, uncorrected = 0.2784 eV per atom

Cell lengths 5.640, 5.640, 5.337 Å; angles 90.00, 90.00, 90.00 degrees
Space group P4/mmm (No. 123)
Symmetry-distinct sites (fractional):
Rb1 0.000 0.000 0.000
Sr1 0.500 0.500 0.500
As1 0.000 0.000 0.500
Se1 0.000 0.500 0.000



RbTeAs2Se | GGA-PBEsol | optimized geometry

energy = -10.58 eV for the cell shown
theoretical density = 4.50 g/cm³
magnetization = 0.0 μB/cell
energy relative to the elements, uncorrected = 1.6069 eV per atom

Cell lengths 5.525, 5.525, 5.335 Å; angles 90.00, 90.00, 90.00 degrees
Space group P4/mmm (No. 123)
Symmetry-distinct sites (fractional):
Rb1 0.000 0.000 0.000
Te1 0.500 0.500 0.500
As1 0.000 0.500 0.000
Se1 0.000 0.000 0.500



RbAs2WSe | GGA-PBEsol | optimized geometry

energy = -28.95 eV for the cell shown
theoretical density = 6.75 g/cm³
magnetization = 0.0 μB/cell
energy relative to the elements, uncorrected = -0.0099 eV per atom

Cell lengths 4.909, 4.909, 5.085 Å; angles 90.00, 90.00, 90.00 degrees
Space group P4/mmm (No. 123)
Symmetry-distinct sites (fractional):
Rb1 0.000 0.000 0.000
As1 0.000 0.500 0.500
W1 0.500 0.500 0.500
Se1 0.500 0.500 0.000